A relaxed structure of RbSrSe2N. Source: Alexandria, functional GGA-PBE. Values from VASP.

E: -16.8 eV per formula unit
energy above the lowest structure with this stoichiometry: 0.00 eV per formula unit

Quantum ESPRESSO input file:
```
&SYSTEM
  ibrav = 0, nat = 5, ntyp = 4
/
ATOMIC_SPECIES
Rb 85.47 Rb.upf
Sr 87.62 Sr.upf
Se 78.96 Se.upf
N 14.01 N.upf
CELL_PARAMETERS angstrom
5.9686 0.0000 0.0000
0.0000 5.9686 0.0000
0.0000 0.0000 4.8739
ATOMIC_POSITIONS crystal
Rb 0.0000 0.0000 0.0000
Sr 0.5000 0.5000 0.5000
Se 0.0000 0.5000 0.5000
Se 0.5000 0.0000 0.5000
N 0.5000 0.5000 0.0000
```

---

A relaxed structure of ZnCo2Rh. Source: Alexandria, functional GGA-PBE. Values from VASP.

E: -22.8 eV per formula unit
ΔH_f (0 K): 0 kJ/mol of formula units

Quantum ESPRESSO input file:
```
&SYSTEM
  ibrav = 0, nat = 4, ntyp = 3
/
ATOMIC_SPECIES
Zn 65.41 Zn.upf
Co 58.93 Co.upf
Rh 102.91 Rh.upf
CELL_PARAMETERS angstrom
-1.7984 1.7984 3.8836
1.7984 -1.7984 3.8836
1.7984 1.7984 -3.8836
ATOMIC_POSITIONS crystal
Zn 0.0000 0.0000 0.0000
Co 0.2500 0.7500 0.5000
Co 0.7500 0.2500 0.5000
Rh 0.5000 0.5000 0.0000
```

---

A relaxed structure of CeNd3Th2P6. Source: Alexandria, functional GGA-PBE. Values from VASP.

E: -86.3 eV per formula unit
ΔH_f (0 K): -1808 kJ/mol of formula units

Quantum ESPRESSO input file:
```
&SYSTEM
  ibrav = 0, nat = 12, ntyp = 4
/
ATOMIC_SPECIES
Ce 140.12 Ce.upf
Nd 144.24 Nd.upf
Th 232.04 Th.upf
P 30.97 P.upf
CELL_PARAMETERS angstrom
3.5949 -6.2264 0.0000
3.5949 6.2264 0.0000
-2.3965 0.0000 6.7660
ATOMIC_POSITIONS crystal
Ce 0.0000 0.0000 0.0000
Nd 0.1665 0.8335 0.5000
Nd 0.5000 0.5000 0.5000
Nd 0.8335 0.1665 0.5000
Th 0.3334 0.6666 0.0000
Th 0.6666 0.3334 0.0000
P 0.0815 0.4136 0.2446
P 0.2506 0.2506 0.7557
P 0.4136 0.0815 0.2446
P 0.5864 0.9185 0.7554
P 0.7494 0.7494 0.2443
P 0.9185 0.5864 0.7554
```

---

A relaxed structure of Cd2Ag12Au5. Source: Alexandria, functional GGA-PBE. Values from VASP.

E: -51.6 eV per formula unit
energy above the lowest structure with this stoichiometry: 0.29 eV per formula unit
ΔH_f (0 K): 78 kJ/mol of formula units

Quantum ESPRESSO input file:
```
&SYSTEM
  ibrav = 0, nat = 19, ntyp = 3
/
ATOMIC_SPECIES
Cd 112.41 Cd.upf
Ag 107.87 Ag.upf
Au 196.97 Au.upf
CELL_PARAMETERS angstrom
6.4509 -4.1886 0.0000
6.4509 4.1886 0.0000
-0.9897 0.0000 6.8193
ATOMIC_POSITIONS crystal
Cd 0.2395 0.7605 0.0000
Cd 0.7605 0.2395 0.0000
Ag 0.0729 0.4430 0.1880
Ag 0.1285 0.1285 0.8743
Ag 0.1754 0.6148 0.5719
Ag 0.3852 0.8246 0.4281
Ag 0.4430 0.0729 0.1880
Ag 0.4473 0.4473 0.2837
Ag 0.5527 0.5527 0.7163
Ag 0.5570 0.9271 0.8120
Ag 0.6148 0.1754 0.5719
Ag 0.8246 0.3852 0.4281
Ag 0.8715 0.8715 0.1257
Ag 0.9271 0.5570 0.8120
Au 0.0000 0.0000 0.5000
Au 0.2229 0.2229 0.5214
Au 0.3532 0.3532 0.8893
Au 0.6468 0.6468 0.1107
Au 0.7771 0.7771 0.4786
```

---

A relaxed structure of ZnCu2ReBi. Source: Alexandria, functional GGA-PBE. Values from VASP.

E: -18.7 eV per formula unit
ΔH_f (0 K): 688 kJ/mol of formula units

Quantum ESPRESSO input file:
```
&SYSTEM
  ibrav = 0, nat = 5, ntyp = 4
/
ATOMIC_SPECIES
Zn 65.41 Zn.upf
Cu 63.55 Cu.upf
Re 186.21 Re.upf
Bi 208.98 Bi.upf
CELL_PARAMETERS angstrom
4.4367 0.0000 0.0000
0.0000 4.4367 0.0000
0.0000 0.0000 5.2590
ATOMIC_POSITIONS crystal
Zn 0.0000 0.0000 0.0000
Cu 0.0000 0.5000 0.0000
Cu 0.5000 0.0000 0.0000
Re 0.5000 0.5000 0.5000
Bi 0.0000 0.0000 0.5000
```

---

A relaxed structure of Dy5In4Ga. Source: Alexandria, functional GGA-PBE. Values from VASP.

E: -41.9 eV per formula unit
ΔH_f (0 K): -470 kJ/mol of formula units

Quantum ESPRESSO input file:
```
&SYSTEM
  ibrav = 0, nat = 10, ntyp = 3
/
ATOMIC_SPECIES
Dy 162.50 Dy.upf
In 114.82 In.upf
Ga 69.72 Ga.upf
CELL_PARAMETERS angstrom
3.6472 0.0000 0.0000
0.0000 3.6472 0.0000
0.0000 0.0000 19.4164
ATOMIC_POSITIONS crystal
Dy 0.0000 0.0000 0.0000
Dy 0.0000 0.0000 0.2062
Dy 0.0000 0.0000 0.4100
Dy 0.0000 0.0000 0.5900
Dy 0.0000 0.0000 0.7938
In 0.5000 0.5000 0.1033
In 0.5000 0.5000 0.3078
In 0.5000 0.5000 0.6922
In 0.5000 0.5000 0.8967
Ga 0.5000 0.5000 0.5000
```

---

A relaxed structure of KNaMnI4. Source: Alexandria, functional GGA-PBE. Values from VASP.

E: -24.5 eV per formula unit

Quantum ESPRESSO input file:
```
&SYSTEM
  ibrav = 0, nat = 14, ntyp = 4
/
ATOMIC_SPECIES
K 39.10 K.upf
Na 22.99 Na.upf
Mn 54.94 Mn.upf
I 126.90 I.upf
CELL_PARAMETERS angstrom
7.7437 0.0000 0.0000
0.0000 8.3136 0.0000
-2.7441 0.0000 9.0771
ATOMIC_POSITIONS crystal
K 0.2239 0.2500 0.0542
K 0.7761 0.7500 0.9458
Na 0.2295 0.2500 0.5605
Na 0.7705 0.7500 0.4395
Mn 0.2356 0.7500 0.3205
Mn 0.7644 0.2500 0.6795
I 0.0001 0.9997 0.2695
I 0.9999 0.0003 0.7305
I 0.0001 0.5003 0.2695
I 0.9999 0.4997 0.7305
I 0.4325 0.7500 0.1298
I 0.4545 0.7500 0.5952
I 0.5455 0.2500 0.4048
I 0.5675 0.2500 0.8702
```

---

A relaxed structure of Re7C6. Source: Alexandria, functional GGA-PBE. Values from VASP.

E: -123.0 eV per formula unit
ΔH_f (0 K): 1877 kJ/mol of formula units

Quantum ESPRESSO input file:
```
&SYSTEM
  ibrav = 0, nat = 13, ntyp = 2
/
ATOMIC_SPECIES
Re 186.21 Re.upf
C 12.01 C.upf
CELL_PARAMETERS angstrom
2.7500 1.5877 6.6324
-2.7500 1.5877 6.6324
0.0000 -3.1754 6.6324
ATOMIC_POSITIONS crystal
Re 0.0000 0.0000 0.0000
Re 0.0763 0.0763 0.5618
Re 0.0763 0.5618 0.0763
Re 0.4382 0.9237 0.9237
Re 0.5618 0.0763 0.0763
Re 0.9237 0.4382 0.9237
Re 0.9237 0.9237 0.4382
C 0.1636 0.1636 0.1636
C 0.3158 0.3158 0.3158
C 0.3874 0.3874 0.3874
C 0.6126 0.6126 0.6126
C 0.6842 0.6842 0.6842
C 0.8364 0.8364 0.8364
```

---

A relaxed structure of Rb2AlI7. Source: Alexandria, functional GGA-PBE. Values from VASP.

E: -23.5 eV per formula unit

Quantum ESPRESSO input file:
```
&SYSTEM
  ibrav = 0, nat = 10, ntyp = 3
/
ATOMIC_SPECIES
Rb 85.47 Rb.upf
Al 26.98 Al.upf
I 126.90 I.upf
CELL_PARAMETERS angstrom
-4.2752 4.2752 6.4140
4.2752 -4.2752 6.4140
4.2752 4.2752 -6.4140
ATOMIC_POSITIONS crystal
Rb 0.2500 0.7500 0.5000
Rb 0.7500 0.2500 0.5000
Al 0.0000 0.0000 0.0000
I 0.2151 0.2151 0.0000
I 0.2323 0.2323 0.4646
I 0.2323 0.7677 0.0000
I 0.5000 0.5000 0.0000
I 0.7677 0.2323 0.0000
I 0.7677 0.7677 0.5354
I 0.7849 0.7849 0.0000
```

---

A relaxed structure of NpUMnRh. Source: Alexandria, functional GGA-PBE. Values from VASP.

E: -41.8 eV per formula unit
ΔH_f (0 K): -100 kJ/mol of formula units

Quantum ESPRESSO input file:
```
&SYSTEM
  ibrav = 0, nat = 4, ntyp = 4
/
ATOMIC_SPECIES
Np 237.00 Np.upf
U 238.03 U.upf
Mn 54.94 Mn.upf
Rh 102.91 Rh.upf
CELL_PARAMETERS angstrom
0.0000 3.2229 3.2229
3.2229 0.0000 3.2229
3.2229 3.2229 0.0000
ATOMIC_POSITIONS crystal
Np 0.0000 0.0000 0.0000
U 0.7500 0.7500 0.7500
Mn 0.5000 0.5000 0.5000
Rh 0.2500 0.2500 0.2500
```

---

A relaxed structure of TePPt3. Source: Alexandria, functional GGA-PBE. Values from VASP.

E: -20.6 eV per formula unit
energy above the lowest structure with this stoichiometry: 5.03 eV per formula unit

Quantum ESPRESSO input file:
```
&SYSTEM
  ibrav = 0, nat = 5, ntyp = 3
/
ATOMIC_SPECIES
Te 127.60 Te.upf
P 30.97 P.upf
Pt 195.08 Pt.upf
CELL_PARAMETERS angstrom
4.9452 0.0000 0.0000
0.0000 4.9452 0.0000
0.0000 0.0000 4.9452
ATOMIC_POSITIONS crystal
Te 0.0000 0.0000 0.0000
P 0.5000 0.5000 0.5000
Pt 0.0000 0.0000 0.5000
Pt 0.0000 0.5000 0.0000
Pt 0.5000 0.0000 0.0000
```

---

A relaxed structure of Cr2HgS4. Source: Alexandria, functional GGA-PBE. Values from VASP.

E: -39.1 eV per formula unit
energy above the lowest structure with this stoichiometry: 0.94 eV per formula unit

Quantum ESPRESSO input file:
```
&SYSTEM
  ibrav = 0, nat = 28, ntyp = 3
/
ATOMIC_SPECIES
Cr 52.00 Cr.upf
Hg 200.59 Hg.upf
S 32.06 S.upf
CELL_PARAMETERS angstrom
12.4477 0.0000 0.0000
0.0000 3.5508 0.0000
0.0000 0.0000 11.6953
ATOMIC_POSITIONS crystal
Cr 0.0900 0.2500 0.0864
Cr 0.1755 0.2500 0.7132
Cr 0.3245 0.7500 0.2132
Cr 0.4100 0.7500 0.5864
Cr 0.5900 0.2500 0.4136
Cr 0.6755 0.2500 0.7868
Cr 0.8245 0.7500 0.2868
Cr 0.9100 0.7500 0.9136
Hg 0.1319 0.7500 0.4264
Hg 0.3681 0.2500 0.9264
Hg 0.6319 0.7500 0.0736
Hg 0.8681 0.2500 0.5736
S 0.0410 0.2500 0.8822
S 0.0727 0.7500 0.6311
S 0.1922 0.2500 0.2671
S 0.2112 0.7500 0.0510
S 0.2888 0.2500 0.5510
S 0.3078 0.7500 0.7671
S 0.4273 0.2500 0.1311
S 0.4590 0.7500 0.3822
S 0.5410 0.2500 0.6178
S 0.5727 0.7500 0.8689
S 0.6922 0.2500 0.2329
S 0.7112 0.7500 0.4490
S 0.7888 0.2500 0.9490
S 0.8078 0.7500 0.7329
S 0.9273 0.2500 0.3689
S 0.9590 0.7500 0.1178
```

---

A relaxed structure of TaCu4Ag. Source: Alexandria, functional GGA-PBE. Values from VASP.

E: -30.4 eV per formula unit
ΔH_f (0 K): 69 kJ/mol of formula units

Quantum ESPRESSO input file:
```
&SYSTEM
  ibrav = 0, nat = 6, ntyp = 3
/
ATOMIC_SPECIES
Ta 180.95 Ta.upf
Cu 63.55 Cu.upf
Ag 107.87 Ag.upf
CELL_PARAMETERS angstrom
0.0000 3.4462 3.4462
3.4462 0.0000 3.4462
3.4462 3.4462 0.0000
ATOMIC_POSITIONS crystal
Ta 0.0000 0.0000 0.0000
Cu 0.3749 0.3749 0.3749
Cu 0.3749 0.3749 0.8753
Cu 0.3749 0.8753 0.3749
Cu 0.8753 0.3749 0.3749
Ag 0.7500 0.7500 0.7500
```

---

A relaxed structure of Dy4Zn3Au. Source: Alexandria, functional GGA-PBE. Values from VASP.

E: -29.3 eV per formula unit
energy above the lowest structure with this stoichiometry: 0.00 eV per formula unit
ΔH_f (0 K): -369 kJ/mol of formula units

Quantum ESPRESSO input file:
```
&SYSTEM
  ibrav = 0, nat = 8, ntyp = 3
/
ATOMIC_SPECIES
Dy 162.50 Dy.upf
Zn 65.41 Zn.upf
Au 196.97 Au.upf
CELL_PARAMETERS angstrom
3.5887 0.0000 0.0000
0.0000 3.5887 0.0000
0.0000 0.0000 14.1783
ATOMIC_POSITIONS crystal
Dy 0.0000 0.0000 0.1244
Dy 0.0000 0.0000 0.3740
Dy 0.0000 0.0000 0.6260
Dy 0.0000 0.0000 0.8756
Zn 0.5000 0.5000 0.0000
Zn 0.5000 0.5000 0.2458
Zn 0.5000 0.5000 0.7542
Au 0.5000 0.5000 0.5000
```

---

A relaxed structure of Nd6In5Pb. Source: Alexandria, functional GGA-PBE. Values from VASP.

E: -52.0 eV per formula unit
energy above the lowest structure with this stoichiometry: 0.00 eV per formula unit
ΔH_f (0 K): -575 kJ/mol of formula units

Quantum ESPRESSO input file:
```
&SYSTEM
  ibrav = 0, nat = 12, ntyp = 3
/
ATOMIC_SPECIES
Nd 144.24 Nd.upf
In 114.82 In.upf
Pb 207.20 Pb.upf
CELL_PARAMETERS angstrom
2.5661 -7.7123 0.0000
2.5661 7.7123 0.0000
0.0000 0.0000 8.8403
ATOMIC_POSITIONS crystal
Nd 0.0000 0.0000 0.2492
Nd 0.0000 0.0000 0.7508
Nd 0.3332 0.6668 0.2478
Nd 0.3332 0.6668 0.7522
Nd 0.6668 0.3332 0.2478
Nd 0.6668 0.3332 0.7522
In 0.1663 0.8337 0.0000
In 0.1711 0.8289 0.5000
In 0.5000 0.5000 0.0000
In 0.8289 0.1711 0.5000
In 0.8337 0.1663 0.0000
Pb 0.5000 0.5000 0.5000
```

---

A relaxed structure of Sc2HgO. Source: Alexandria, functional GGA-PBE. Values from VASP.

E: -19.9 eV per formula unit
energy above the lowest structure with this stoichiometry: 4.61 eV per formula unit

Quantum ESPRESSO input file:
```
&SYSTEM
  ibrav = 0, nat = 4, ntyp = 3
/
ATOMIC_SPECIES
Sc 44.96 Sc.upf
Hg 200.59 Hg.upf
O 16.00 O.upf
CELL_PARAMETERS angstrom
0.0000 3.3135 3.3135
3.3135 0.0000 3.3135
3.3135 3.3135 0.0000
ATOMIC_POSITIONS crystal
Sc 0.2500 0.2500 0.2500
Sc 0.7500 0.7500 0.7500
Hg 0.0000 0.0000 0.0000
O 0.5000 0.5000 0.5000
```

---

A relaxed structure of Mn3HOs. Source: Alexandria, functional GGA-PBE. Values from VASP.

E: -37.8 eV per formula unit
energy above the lowest structure with this stoichiometry: 4.48 eV per formula unit

Quantum ESPRESSO input file:
```
&SYSTEM
  ibrav = 0, nat = 5, ntyp = 3
/
ATOMIC_SPECIES
Mn 54.94 Mn.upf
H 1.01 H.upf
Os 190.23 Os.upf
CELL_PARAMETERS angstrom
3.4926 0.0000 0.0000
0.0000 3.4926 0.0000
0.0000 0.0000 5.8081
ATOMIC_POSITIONS crystal
Mn 0.0000 0.0000 0.0000
Mn 0.0000 0.5000 0.6974
Mn 0.5000 0.0000 0.6974
H 0.5000 0.5000 0.8007
Os 0.0000 0.0000 0.4078
```

---

A relaxed structure of LaNdTe2S. Source: Alexandria, functional GGA-PBE. Values from VASP.

E: -28.2 eV per formula unit

Quantum ESPRESSO input file:
```
&SYSTEM
  ibrav = 0, nat = 10, ntyp = 4
/
ATOMIC_SPECIES
La 138.91 La.upf
Nd 144.24 Nd.upf
Te 127.60 Te.upf
S 32.06 S.upf
CELL_PARAMETERS angstrom
4.5635 0.0000 0.0000
0.0000 4.5635 0.0000
0.0000 0.0000 16.0673
ATOMIC_POSITIONS crystal
La 0.2500 0.2500 0.1020
La 0.7500 0.7500 0.8980
Nd 0.2500 0.2500 0.6151
Nd 0.7500 0.7500 0.3849
Te 0.2500 0.2500 0.4062
Te 0.2500 0.2500 0.8007
Te 0.7500 0.7500 0.1993
Te 0.7500 0.7500 0.5938
S 0.2500 0.7500 0.0000
S 0.7500 0.2500 0.0000
```

---

A relaxed structure of RbScAlMo2. Source: Alexandria, functional GGA-PBE. Values from VASP.

E: -19.9 eV per formula unit
ΔH_f (0 K): 1236 kJ/mol of formula units

Quantum ESPRESSO input file:
```
&SYSTEM
  ibrav = 0, nat = 5, ntyp = 4
/
ATOMIC_SPECIES
Rb 85.47 Rb.upf
Sc 44.96 Sc.upf
Al 26.98 Al.upf
Mo 95.94 Mo.upf
CELL_PARAMETERS angstrom
4.7341 0.0000 0.0000
0.0000 4.7341 0.0000
0.0000 0.0000 5.1553
ATOMIC_POSITIONS crystal
Rb 0.0000 0.0000 0.0000
Sc 0.5000 0.5000 0.5000
Al 0.0000 0.0000 0.5000
Mo 0.0000 0.5000 0.0000
Mo 0.5000 0.0000 0.0000
```

---

A relaxed structure of BeZnSb. Source: Alexandria, functional GGA-PBE. Values from VASP.

E: -8.5 eV per formula unit
energy above the lowest structure with this stoichiometry: 0.00 eV per formula unit

Quantum ESPRESSO input file:
```
&SYSTEM
  ibrav = 0, nat = 3, ntyp = 3
/
ATOMIC_SPECIES
Be 9.01 Be.upf
Zn 65.41 Zn.upf
Sb 121.76 Sb.upf
CELL_PARAMETERS angstrom
0.0000 3.0074 3.0074
3.0074 0.0000 3.0074
3.0074 3.0074 0.0000
ATOMIC_POSITIONS crystal
Be 0.0000 0.0000 0.0000
Zn 0.7500 0.7500 0.7500
Sb 0.2500 0.2500 0.2500
```